1.
# PrHoNpN3 PBE-GGA optimized geometry
data_PrHoNpN3
_cell_length_a 7.256
_cell_length_b 3.625
_cell_length_c 8.703
_cell_angle_alpha 90.00
_cell_angle_beta 99.33
_cell_angle_gamma 90.00
_space_group_name_H-M_alt 'P 1 21/m 1'
_space_group_IT_number 11
loop_
_space_group_symop_operation_xyz
'x,y,z'
'-x,-y,-z'
'-x,y+1/2,-z'
'x,-y+1/2,z'
loop_
_atom_site_label
_atom_site_type_symbol
_atom_site_fract_x
_atom_site_fract_y
_atom_site_fract_z
Pr1 Pr 0.171 0.250 0.139
Ho1 Ho 0.368 0.750 0.854
Np1 Np 0.058 0.250 0.593
N1 N 0.104 0.250 0.848
N2 N 0.221 0.750 0.592
N3 N 0.403 0.750 0.122
# DFT total energy ... -106.91 eV per cell

---

2.
# Pr3Ho2NpN6 PBE-GGA optimized geometry
data_Pr3Ho2NpN6
_cell_length_a 6.104
_cell_length_b 10.566
_cell_length_c 6.207
_cell_angle_alpha 90.00
_cell_angle_beta 109.14
_cell_angle_gamma 90.00
_space_group_name_H-M_alt 'C 1 2/m 1'
_space_group_IT_number 12
loop_
_space_group_symop_operation_xyz
'x,y,z'
'-x,-y,-z'
'-x,y,-z'
'x,-y,z'
'x+1/2,y+1/2,z'
'-x+1/2,-y+1/2,-z'
'-x+1/2,y+1/2,-z'
'x+1/2,-y+1/2,z'
loop_
_atom_site_label
_atom_site_type_symbol
_atom_site_fract_x
_atom_site_fract_y
_atom_site_fract_z
Pr1 Pr 0.000 0.000 0.000
Pr2 Pr 0.000 0.331 0.000
Ho1 Ho 0.000 0.166 0.500
Np1 Np 0.000 0.500 0.500
N1 N 0.228 0.344 0.717
N2 N 0.240 0.500 0.280
# DFT total energy ... -207.17 eV per cell

---

3.
# HoPu2NpN4 PBE-GGA optimized geometry
data_HoPu2NpN4
_cell_length_a 5.978
_cell_length_b 3.457
_cell_length_c 6.010
_cell_angle_alpha 90.00
_cell_angle_beta 109.67
_cell_angle_gamma 90.00
_space_group_name_H-M_alt 'P 1 2/m 1'
_space_group_IT_number 10
loop_
_space_group_symop_operation_xyz
'x,y,z'
'-x,-y,-z'
'-x,y,-z'
'x,-y,z'
loop_
_atom_site_label
_atom_site_type_symbol
_atom_site_fract_x
_atom_site_fract_y
_atom_site_fract_z
Ho1 Ho 0.000 0.000 0.000
Pu1 Pu 0.000 0.500 0.500
Pu2 Pu 0.500 0.000 0.500
Np1 Np 0.500 0.500 0.000
N1 N 0.256 0.000 0.762
N2 N 0.261 0.500 0.242
# DFT total energy ... -89.86 eV per cell

---

4.
# HoNpS2N PBE-GGA optimized geometry
data_HoNpS2N
_cell_length_a 3.803
_cell_length_b 3.803
_cell_length_c 13.719
_cell_angle_alpha 90.00
_cell_angle_beta 90.00
_cell_angle_gamma 90.00
_space_group_name_H-M_alt 'P 4/n m m'
_space_group_IT_number 129
loop_
_space_group_symop_operation_xyz
'x,y,z'
'-x,-y,-z'
'-y+1/2,x,z'
'y+1/2,-x,-z'
'-x+1/2,-y+1/2,z'
'x+1/2,y+1/2,-z'
'y,-x+1/2,z'
'-y,x+1/2,-z'
'x+1/2,-y,-z'
'-x+1/2,y,z'
'-y,-x,-z'
'y,x,z'
'-x,y+1/2,-z'
'x,-y+1/2,z'
'y+1/2,x+1/2,-z'
'-y+1/2,-x+1/2,z'
loop_
_atom_site_label
_atom_site_type_symbol
_atom_site_fract_x
_atom_site_fract_y
_atom_site_fract_z
Ho1 Ho 0.250 0.250 0.120
Np1 Np 0.250 0.250 0.586
S1 S 0.250 0.250 0.309
S2 S 0.250 0.250 0.908
N1 N 0.250 0.750 0.500
# DFT total energy ... -84.81 eV per cell